Compound: Tl3MoO4
Source: Alexandria via LeMat-Bulk
Functional: GGA+U
Structure: optimized geometry

a = 6.248 Å, b = 6.248 Å, c = 6.248 Å
α = 97.44°, β = 112.17°, γ = 119.55°
Fractional positions:
1 Tl 0.021 0.000 0.021
2 Tl 0.542 0.246 0.788
3 Tl 0.542 0.754 0.296
4 O 0.157 0.319 0.476
5 O 0.627 0.267 0.360
6 O 0.157 0.681 0.838
7 O 0.094 0.733 0.360
8 Mo 0.011 0.500 0.511

Properties
- calculated total energy (eV/atom) = -5.316
- D(E_F) (states/eV/cell) = 3.12